A relaxed Nd7Dy2Y crystal, computed with PBE-GGA.

Cell and atoms, written as POSCAR:
```
Nd7Dy2Y
1.0
5.661 0.000 0.000
0.000 9.404 -0.589
0.000 -4.769 8.126
Nd Y Dy
7 1 2
Direct
0.500 0.066 0.292
0.500 0.292 0.066
0.500 0.500 0.500
0.500 0.708 0.934
0.000 0.782 0.218
0.000 0.218 0.782
0.500 0.934 0.708
0.000 0.000 0.000
0.500 0.705 0.295
0.500 0.295 0.705
```

Computed properties:
Density of states at the Fermi level in states/eV/cell: 15.5
Space-group type: No. 65
E_form in eV per atom: 0.63

=====

A relaxed Nd3Dy3Y crystal, computed with PBE-GGA.

Cell and atoms, written as POSCAR:
```
Nd3Dy3Y
1.0
5.778 0.000 0.000
0.000 9.693 0.000
0.000 -4.846 8.394
Nd Y Dy
6 2 6
Direct
0.750 0.905 0.527
0.750 0.622 0.095
0.250 0.527 0.622
0.250 0.378 0.905
0.750 0.473 0.378
0.250 0.095 0.473
0.750 0.333 0.667
0.250 0.667 0.333
0.750 0.766 0.810
0.750 0.190 0.955
0.250 0.810 0.045
0.250 0.234 0.190
0.750 0.045 0.234
0.250 0.955 0.766
```

Computed properties:
Density of states at the Fermi level in states/eV/cell: 27.1
E above lowest polymorph in eV/atom: 0.000
Space-group type: No. 176
E_form in eV per atom: 0.02

=====

A relaxed NdDy5Y crystal, computed with PBE-GGA.

Cell and atoms, written as POSCAR:
```
NdDy5Y
1.0
5.790 0.000 0.000
2.895 7.321 0.473
2.895 1.775 7.119
Dy Nd Y
5 1 1
Direct
0.500 0.821 0.179
0.252 0.748 0.748
0.000 0.500 0.500
0.748 0.252 0.252
0.500 0.179 0.821
0.000 0.000 0.000
0.500 0.500 0.500
```

Computed properties:
Density of states at the Fermi level in states/eV/cell: 9.6
E above lowest polymorph in eV/atom: 0.929
Space-group type: No. 71
E_form in eV per atom: 1.11

=====

A relaxed Nd3Dy5Y crystal, computed with PBE-GGA.

Cell and atoms, written as POSCAR:
```
Nd3Dy5Y
1.0
-5.339 4.129 0.169
-0.007 -5.234 -7.234
-4.375 -6.015 8.748
Dy Nd Y
10 6 2
Direct
0.610 0.214 0.045
0.703 0.648 0.128
0.682 0.000 0.250
0.396 0.786 0.455
0.945 0.648 0.628
0.604 0.214 0.545
0.297 0.352 0.872
0.390 0.786 0.955
0.055 0.352 0.372
0.318 0.000 0.750
0.138 0.524 0.144
0.000 0.000 0.500
0.000 0.000 0.000
0.862 0.476 0.856
0.614 0.476 0.356
0.386 0.524 0.644
0.228 0.000 0.250
0.772 0.000 0.750
```

Computed properties:
Density of states at the Fermi level in states/eV/cell: 26.4
E above lowest polymorph in eV/atom: 0.000
Space-group type: No. 15
E_form in eV per atom: 0.16

=====

no.,theoretical density (g/cm³),raw total energy (eV per atom)
1,5.67,-4.2695
2,7.13,-4.9182
3,5.85,-3.7783
4,7.34,-4.7055